This record from the Alexandria database describes a geometry-optimized MoIO3 structure. The functional is PBE+U.

Cell: 11.119 5.341 7.211 Å, 90.00 94.90 90.00°
Element x y z (fractional)
Mo: 0.074 0.234 0.417
Mo: 0.074 0.266 0.917
Mo: 0.926 0.734 0.083
Mo: 0.926 0.766 0.583
I: 0.458 0.607 0.745
I: 0.458 0.893 0.245
I: 0.542 0.107 0.755
I: 0.542 0.393 0.255
O: 0.032 0.092 0.163
O: 0.032 0.408 0.663
O: 0.114 0.551 0.033
O: 0.114 0.949 0.533
O: 0.210 0.132 0.892
O: 0.210 0.368 0.392
O: 0.790 0.632 0.608
O: 0.790 0.868 0.108
O: 0.886 0.051 0.467
O: 0.886 0.449 0.967
O: 0.968 0.592 0.337
O: 0.968 0.908 0.837

Results
calculated total energy = -5.82 eV per atom
theoretical density = 4.2 g cm⁻³
symmetry = P2_1/c, No. 14
density of states at the Fermi level = 4.14 states/eV/cell


This record from the Alexandria database describes a geometry-optimized MoIO5 structure. The functional is PBE+U.

Cell: 5.698 5.698 7.407 Å, 108.93 108.93 71.94°
Element x y z (fractional)
Mo: 0.000 0.000 0.000
Mo: 0.000 0.000 0.500
I: 0.481 0.506 0.246
I: 0.506 0.481 0.746
O: 0.134 0.952 0.772
O: 0.280 0.281 0.640
O: 0.281 0.280 0.140
O: 0.326 0.718 0.068
O: 0.326 0.719 0.454
O: 0.718 0.326 0.568
O: 0.719 0.326 0.954
O: 0.795 0.796 0.398
O: 0.796 0.795 0.898
O: 0.952 0.134 0.272

Results
calculated total energy = -5.68 eV per atom
theoretical density = 4.8 g cm⁻³
symmetry = Cc, No. 9